P.
A plane-wave DFT calculation with GGA-PBEsol was carried out for crystalline Mg2CrCo at its relaxed geometry.

The structure in POSCAR format:
```
Mg2CrCo
1.0
1.3557 0.7827 8.9369
-1.3557 0.7827 8.9369
0.0000 -1.5655 8.9369
Mg Cr Co
2 1 1
direct
0.2468 0.2468 0.2468
0.7532 0.7532 0.7532
0.0000 0.0000 0.0000
0.5000 0.5000 0.5000
```

Results
- Magnetic moment: 1.68 μB per cell

Q.
A plane-wave DFT calculation with GGA-PBEsol was carried out for crystalline Mg2CrCo at its relaxed geometry.

The structure in POSCAR format:
```
Mg2CrCo
1.0
1.6372 -2.0191 0.0000
1.6372 2.0191 0.0000
0.0000 0.0000 8.5534
Mg Cr Co
2 1 1
direct
0.0000 0.0000 0.2406
0.0000 0.0000 0.7594
0.5000 0.5000 0.5000
0.5000 0.5000 0.0000
```

Results
- Magnetic moment: 1.56 μB per cell

Which of them is most stable? Easy: Q.